Record 1
# Ho4Tm3Te2 (PBE, relaxed)
# VASP energy   -4.74 eV per atom
# Uncorrected formation energy   -0.5154 eV per atom
data_Ho4Tm3Te2
_chemical_formula_sum 'Ho4 Tm3 Te2'
_symmetry_space_group_name_H-M 'P 1'
_symmetry_Int_Tables_number 1
_cell_length_a 8.964
_cell_length_b 8.964
_cell_length_c 9.414
_cell_angle_alpha 121.40
_cell_angle_beta 121.40
_cell_angle_gamma 24.48
loop_
_symmetry_equiv_pos_as_xyz
'x,y,z'
loop_
_atom_site_label
_atom_site_type_symbol
_atom_site_fract_x
_atom_site_fract_y
_atom_site_fract_z
Ho1 Ho 0.053 0.053 0.383
Ho2 Ho 0.291 0.291 0.673
Ho3 Ho 0.709 0.709 0.327
Ho4 Ho 0.947 0.947 0.617
Tm1 Tm 0.351 0.351 0.246
Tm2 Tm 0.500 0.500 0.000
Tm3 Tm 0.649 0.649 0.754
Te1 Te 0.141 0.141 0.006
Te2 Te 0.859 0.859 0.994

=====

Record 2
# CaYOs (PBE, relaxed)
# ΔE_f   0.3 eV per formula unit
# VASP energy   -6.48 eV per atom
data_CaYOs
_chemical_formula_sum 'Ca1 Y1 Os1'
_symmetry_space_group_name_H-M 'P 1'
_symmetry_Int_Tables_number 1
_cell_length_a 6.990
_cell_length_b 6.990
_cell_length_c 6.990
_cell_angle_alpha 151.25
_cell_angle_beta 151.25
_cell_angle_gamma 41.10
loop_
_symmetry_equiv_pos_as_xyz
'x,y,z'
loop_
_atom_site_label
_atom_site_type_symbol
_atom_site_fract_x
_atom_site_fract_y
_atom_site_fract_z
Ca1 Ca 0.000 0.000 0.000
Y1 Y 0.752 0.752 0.000
Os1 Os 0.364 0.364 0.000

=====

Record 3
# CuAg2IrRh (PBE, relaxed)
# ΔE_f   6.8 eV per formula unit
# VASP energy   -3.85 eV per atom
data_CuAg2IrRh
_chemical_formula_sum 'Cu1 Ag2 Ir1 Rh1'
_symmetry_space_group_name_H-M 'P 1'
_symmetry_Int_Tables_number 1
_cell_length_a 5.098
_cell_length_b 5.098
_cell_length_c 4.612
_cell_angle_alpha 90.00
_cell_angle_beta 90.00
_cell_angle_gamma 90.00
loop_
_symmetry_equiv_pos_as_xyz
'x,y,z'
loop_
_atom_site_label
_atom_site_type_symbol
_atom_site_fract_x
_atom_site_fract_y
_atom_site_fract_z
Cu1 Cu 0.000 0.000 0.000
Ag1 Ag 0.000 0.500 0.500
Ag2 Ag 0.500 0.000 0.500
Ir1 Ir 0.500 0.500 0.500
Rh1 Rh 0.500 0.500 0.000

=====

Record 4
# K14In2Se9 (PBE, relaxed)
# VASP energy   -3.09 eV per atom
# Uncorrected formation energy   -1.0045 eV per atom
data_K14In2Se9
_chemical_formula_sum 'K14 In2 Se9'
_symmetry_space_group_name_H-M 'P 1'
_symmetry_Int_Tables_number 1
_cell_length_a 9.317
_cell_length_b 9.317
_cell_length_c 13.037
_cell_angle_alpha 90.00
_cell_angle_beta 90.00
_cell_angle_gamma 120.00
loop_
_symmetry_equiv_pos_as_xyz
'x,y,z'
loop_
_atom_site_label
_atom_site_type_symbol
_atom_site_fract_x
_atom_site_fract_y
_atom_site_fract_z
K1 K 0.000 0.000 0.249
K2 K 0.000 0.000 0.751
K3 K 0.024 0.671 0.408
K4 K 0.059 0.376 0.095
K5 K 0.317 0.941 0.095
K6 K 0.329 0.353 0.408
K7 K 0.353 0.024 0.592
K8 K 0.376 0.317 0.905
K9 K 0.624 0.683 0.095
K10 K 0.647 0.976 0.408
K11 K 0.671 0.647 0.592
K12 K 0.683 0.059 0.905
K13 K 0.941 0.624 0.905
K14 K 0.976 0.329 0.592
In1 In 0.333 0.667 0.761
In2 In 0.667 0.333 0.239
Se1 Se 0.000 0.000 0.500
Se2 Se 0.061 0.363 0.837
Se3 Se 0.302 0.939 0.837
Se4 Se 0.333 0.667 0.539
Se5 Se 0.363 0.302 0.163
Se6 Se 0.637 0.698 0.837
Se7 Se 0.667 0.333 0.461
Se8 Se 0.698 0.061 0.163
Se9 Se 0.939 0.637 0.163

=====

Record 5
# SrPb3 (PBE, relaxed)
# ΔE_f   3.5 eV per formula unit
# VASP energy   -2.32 eV per atom
data_SrPb3
_chemical_formula_sum 'Sr1 Pb3'
_symmetry_space_group_name_H-M 'P 1'
_symmetry_Int_Tables_number 1
_cell_length_a 6.310
_cell_length_b 6.310
_cell_length_c 6.310
_cell_angle_alpha 90.00
_cell_angle_beta 90.00
_cell_angle_gamma 90.00
loop_
_symmetry_equiv_pos_as_xyz
'x,y,z'
loop_
_atom_site_label
_atom_site_type_symbol
_atom_site_fract_x
_atom_site_fract_y
_atom_site_fract_z
Sr1 Sr 0.000 0.000 0.000
Pb1 Pb 0.000 0.000 0.500
Pb2 Pb 0.000 0.500 0.000
Pb3 Pb 0.500 0.000 0.000

=====

Record 6
# Mn2TcPt8 (PBE, relaxed)
# ΔE_f   -2.5 eV per formula unit
# VASP energy   -7.23 eV per atom
data_Mn2TcPt8
_chemical_formula_sum 'Mn2 Tc1 Pt8'
_symmetry_space_group_name_H-M 'P 1'
_symmetry_Int_Tables_number 1
_cell_length_a 7.337
_cell_length_b 7.337
_cell_length_c 6.268
_cell_angle_alpha 105.95
_cell_angle_beta 105.95
_cell_angle_gamma 31.20
loop_
_symmetry_equiv_pos_as_xyz
'x,y,z'
loop_
_atom_site_label
_atom_site_type_symbol
_atom_site_fract_x
_atom_site_fract_y
_atom_site_fract_z
Mn1 Mn 0.224 0.224 0.144
Mn2 Mn 0.776 0.776 0.856
Tc1 Tc 0.500 0.500 0.500
Pt1 Pt 0.046 0.046 0.229
Pt2 Pt 0.138 0.138 0.688
Pt3 Pt 0.319 0.319 0.587
Pt4 Pt 0.403 0.403 0.051
Pt5 Pt 0.597 0.597 0.949
Pt6 Pt 0.681 0.681 0.413
Pt7 Pt 0.862 0.862 0.312
Pt8 Pt 0.954 0.954 0.771

=====

Record 7
# SrZn2SiPd4 (PBE, relaxed)
# VASP energy   -4.35 eV per atom
# Uncorrected formation energy   -0.5501 eV per atom
data_SrZn2SiPd4
_chemical_formula_sum 'Sr1 Zn2 Si1 Pd4'
_symmetry_space_group_name_H-M 'P 1'
_symmetry_Int_Tables_number 1
_cell_length_a 9.283
_cell_length_b 9.283
_cell_length_c 9.283
_cell_angle_alpha 27.02
_cell_angle_beta 27.02
_cell_angle_gamma 27.02
loop_
_symmetry_equiv_pos_as_xyz
'x,y,z'
loop_
_atom_site_label
_atom_site_type_symbol
_atom_site_fract_x
_atom_site_fract_y
_atom_site_fract_z
Sr1 Sr 0.000 0.000 0.000
Zn1 Zn 0.242 0.242 0.242
Zn2 Zn 0.758 0.758 0.758
Si1 Si 0.500 0.500 0.500
Pd1 Pd 0.138 0.138 0.138
Pd2 Pd 0.412 0.412 0.412
Pd3 Pd 0.588 0.588 0.588
Pd4 Pd 0.862 0.862 0.862

=====

Record 8
# Cs3GeS4 (PBE, relaxed)
# VASP energy   -3.83 eV per atom
# Uncorrected formation energy   -0.8740 eV per atom
data_Cs3GeS4
_chemical_formula_sum 'Cs12 Ge4 S16'
_symmetry_space_group_name_H-M 'P 1'
_symmetry_Int_Tables_number 1
_cell_length_a 9.939
_cell_length_b 11.868
_cell_length_c 10.065
_cell_angle_alpha 90.00
_cell_angle_beta 90.00
_cell_angle_gamma 90.00
loop_
_symmetry_equiv_pos_as_xyz
'x,y,z'
loop_
_atom_site_label
_atom_site_type_symbol
_atom_site_fract_x
_atom_site_fract_y
_atom_site_fract_z
Cs1 Cs 0.037 0.044 0.206
Cs2 Cs 0.037 0.456 0.206
Cs3 Cs 0.150 0.750 0.416
Cs4 Cs 0.350 0.250 0.916
Cs5 Cs 0.463 0.544 0.706
Cs6 Cs 0.463 0.956 0.706
Cs7 Cs 0.537 0.044 0.294
Cs8 Cs 0.537 0.456 0.294
Cs9 Cs 0.650 0.750 0.084
Cs10 Cs 0.850 0.250 0.584
Cs11 Cs 0.963 0.544 0.794
Cs12 Cs 0.963 0.956 0.794
Ge1 Ge 0.225 0.750 0.985
Ge2 Ge 0.275 0.250 0.485
Ge3 Ge 0.725 0.750 0.515
Ge4 Ge 0.775 0.250 0.015
S1 S 0.020 0.750 0.074
S2 S 0.170 0.093 0.547
S3 S 0.170 0.407 0.547
S4 S 0.215 0.750 0.763
S5 S 0.285 0.250 0.263
S6 S 0.330 0.593 0.047
S7 S 0.330 0.907 0.047
S8 S 0.480 0.250 0.574
S9 S 0.520 0.750 0.426
S10 S 0.670 0.093 0.953
S11 S 0.670 0.407 0.953
S12 S 0.715 0.750 0.737
S13 S 0.785 0.250 0.237
S14 S 0.830 0.593 0.453
S15 S 0.830 0.907 0.453
S16 S 0.980 0.250 0.926

=====

Record 9
# Ca2Ac2Nd (PBE, relaxed)
# ΔE_f   1.7 eV per formula unit
# VASP energy   -3.05 eV per atom
data_Ca2Ac2Nd
_chemical_formula_sum 'Ca2 Ac2 Nd1'
_symmetry_space_group_name_H-M 'P 1'
_symmetry_Int_Tables_number 1
_cell_length_a 10.258
_cell_length_b 10.258
_cell_length_c 10.258
_cell_angle_alpha 153.12
_cell_angle_beta 153.12
_cell_angle_gamma 38.37
loop_
_symmetry_equiv_pos_as_xyz
'x,y,z'
loop_
_atom_site_label
_atom_site_type_symbol
_atom_site_fract_x
_atom_site_fract_y
_atom_site_fract_z
Ca1 Ca 0.250 0.750 0.500
Ca2 Ca 0.750 0.250 0.500
Ac1 Ac 0.092 0.092 0.000
Ac2 Ac 0.908 0.908 0.000
Nd1 Nd 0.500 0.500 0.000

=====

Record 10
# HoHfNiRu (PBE, relaxed)
# ΔE_f   -1.9 eV per formula unit
# VASP energy   -7.86 eV per atom
data_HoHfNiRu
_chemical_formula_sum 'Ho1 Hf1 Ni1 Ru1'
_symmetry_space_group_name_H-M 'P 1'
_symmetry_Int_Tables_number 1
_cell_length_a 4.660
_cell_length_b 4.660
_cell_length_c 4.660
_cell_angle_alpha 60.00
_cell_angle_beta 60.00
_cell_angle_gamma 60.00
loop_
_symmetry_equiv_pos_as_xyz
'x,y,z'
loop_
_atom_site_label
_atom_site_type_symbol
_atom_site_fract_x
_atom_site_fract_y
_atom_site_fract_z
Ho1 Ho 0.000 0.000 0.000
Hf1 Hf 0.500 0.500 0.500
Ni1 Ni 0.250 0.250 0.250
Ru1 Ru 0.750 0.750 0.750

=====

Record 11
# PmTiS3 (PBE, relaxed)
# VASP energy   -6.46 eV per atom
# Uncorrected formation energy   -1.4587 eV per atom
data_PmTiS3
_chemical_formula_sum 'Pm2 Ti2 S6'
_symmetry_space_group_name_H-M 'P 1'
_symmetry_Int_Tables_number 1
_cell_length_a 9.539
_cell_length_b 9.539
_cell_length_c 9.539
_cell_angle_alpha 152.01
_cell_angle_beta 149.91
_cell_angle_gamma 41.56
loop_
_symmetry_equiv_pos_as_xyz
'x,y,z'
loop_
_atom_site_label
_atom_site_type_symbol
_atom_site_fract_x
_atom_site_fract_y
_atom_site_fract_z
Pm1 Pm 0.342 0.092 0.250
Pm2 Pm 0.658 0.908 0.750
Ti1 Ti 0.069 0.319 0.750
Ti2 Ti 0.931 0.681 0.250
S1 S 0.075 0.825 0.250
S2 S 0.205 0.455 0.750
S3 S 0.432 0.682 0.750
S4 S 0.568 0.318 0.250
S5 S 0.795 0.545 0.250
S6 S 0.925 0.175 0.750

=====

Record 12
# PuPaGaPt (PBE, relaxed)
# ΔE_f   -1.9 eV per formula unit
# VASP energy   -8.70 eV per atom
data_PuPaGaPt
_chemical_formula_sum 'Pu1 Pa1 Ga1 Pt1'
_symmetry_space_group_name_H-M 'P 1'
_symmetry_Int_Tables_number 1
_cell_length_a 4.873
_cell_length_b 4.873
_cell_length_c 4.873
_cell_angle_alpha 60.00
_cell_angle_beta 60.00
_cell_angle_gamma 60.00
loop_
_symmetry_equiv_pos_as_xyz
'x,y,z'
loop_
_atom_site_label
_atom_site_type_symbol
_atom_site_fract_x
_atom_site_fract_y
_atom_site_fract_z
Pu1 Pu 0.000 0.000 0.000
Pa1 Pa 0.250 0.250 0.250
Ga1 Ga 0.750 0.750 0.750
Pt1 Pt 0.500 0.500 0.500

=====

Repeat the eighth record exactly.
# Cs3GeS4 (PBE, relaxed)
# VASP energy   -3.83 eV per atom
# Uncorrected formation energy   -0.8740 eV per atom
data_Cs3GeS4
_chemical_formula_sum 'Cs12 Ge4 S16'
_symmetry_space_group_name_H-M 'P 1'
_symmetry_Int_Tables_number 1
_cell_length_a 9.939
_cell_length_b 11.868
_cell_length_c 10.065
_cell_angle_alpha 90.00
_cell_angle_beta 90.00
_cell_angle_gamma 90.00
loop_
_symmetry_equiv_pos_as_xyz
'x,y,z'
loop_
_atom_site_label
_atom_site_type_symbol
_atom_site_fract_x
_atom_site_fract_y
_atom_site_fract_z
Cs1 Cs 0.037 0.044 0.206
Cs2 Cs 0.037 0.456 0.206
Cs3 Cs 0.150 0.750 0.416
Cs4 Cs 0.350 0.250 0.916
Cs5 Cs 0.463 0.544 0.706
Cs6 Cs 0.463 0.956 0.706
Cs7 Cs 0.537 0.044 0.294
Cs8 Cs 0.537 0.456 0.294
Cs9 Cs 0.650 0.750 0.084
Cs10 Cs 0.850 0.250 0.584
Cs11 Cs 0.963 0.544 0.794
Cs12 Cs 0.963 0.956 0.794
Ge1 Ge 0.225 0.750 0.985
Ge2 Ge 0.275 0.250 0.485
Ge3 Ge 0.725 0.750 0.515
Ge4 Ge 0.775 0.250 0.015
S1 S 0.020 0.750 0.074
S2 S 0.170 0.093 0.547
S3 S 0.170 0.407 0.547
S4 S 0.215 0.750 0.763
S5 S 0.285 0.250 0.263
S6 S 0.330 0.593 0.047
S7 S 0.330 0.907 0.047
S8 S 0.480 0.250 0.574
S9 S 0.520 0.750 0.426
S10 S 0.670 0.093 0.953
S11 S 0.670 0.407 0.953
S12 S 0.715 0.750 0.737
S13 S 0.785 0.250 0.237
S14 S 0.830 0.593 0.453
S15 S 0.830 0.907 0.453
S16 S 0.980 0.250 0.926

=====

> The highest VASP energy belongs to which entry?

SrPb3

=====

> Among the records above, which one has the lowest VASP energy?

PuPaGaPt